(1)
A plane-wave DFT calculation with PBE was carried out for Zn4Os3 after structural relaxation.

For the energy relative to the lowest polymorph listed for this composition, the calculation gives 240 meV/atom. Its crystal system is hexagonal.

It has space group P6/mmm (No. 191), with a = 5.1665 Å, b = 5.1665 Å, c = 4.7088 Å, α = 90.00°, β = 90.00° and γ = 120.00°. The distinct sites, in fractional coordinates, are Zn at (0.0000, 0.0000, 0.2476), Zn at (0.3333, 0.6667, 0.0000) and Os at (0.0000, 0.5000, 0.5000).

***

(2)
A plane-wave DFT calculation with PBE was carried out for MgTl4Ru after structural relaxation.

Its crystal system is cubic.

It has space group F-43m (No. 216), with a = 8.642 Å, b = 8.642 Å, c = 8.642 Å, α = 90.00°, β = 90.00° and γ = 90.00°. The distinct sites, in fractional coordinates, are Mg at (0.000, 0.000, 0.000), Tl at (0.125, 0.125, 0.375) and Ru at (0.250, 0.250, 0.750).

***

(3)
A plane-wave DFT calculation with PBE was carried out for FeSiOs2 after structural relaxation.

For the uncorrected formation energy, the calculation gives 0.208 eV/atom. Its crystal system is monoclinic.

It has space group C2/m (No. 12), with a = 5.385 Å, b = 8.387 Å, c = 2.725 Å, α = 90.00°, β = 117.56° and γ = 90.00°. The distinct sites, in fractional coordinates, are Fe at (0.000, 0.000, 0.000), Si at (0.000, 0.500, 0.000) and Os at (0.250, 0.250, 0.500).

***

no.,total energy (eV per formula unit)
1,-35.91
2,-15.70
3,-35.51